#1
NaBeP3: relaxed, PBE.

Lattice parameters (Å, degrees): 4.772 4.772 4.772 90.00 90.00 90.00
Atoms (fractional coordinates):
Na: 0.000 0.000 0.000
Be: 0.500 0.500 0.500
P: 0.000 0.000 0.500
P: 0.000 0.500 0.000
P: 0.500 0.000 0.000

---

#2
NaBeP3: relaxed, PBE.

Lattice parameters (Å, degrees): 4.401 4.401 4.401 90.00 90.00 90.00
Atoms (fractional coordinates):
Na: 0.000 0.000 0.000
Be: 0.500 0.500 0.500
P: 0.000 0.500 0.500
P: 0.500 0.000 0.500
P: 0.500 0.500 0.000

---

It is #1 that is the least stable of them.

---

#1
NaBePS2: relaxed, PBE.

Lattice parameters (Å, degrees): 4.649 4.649 4.103 90.00 90.00 90.00
Atoms (fractional coordinates):
Na: 0.000 0.000 0.000
Be: 0.500 0.500 0.500
P: 0.500 0.500 0.000
S: 0.000 0.500 0.500
S: 0.500 0.000 0.500

---

#2
NaBePS2: relaxed, PBE.

Lattice parameters (Å, degrees): 4.835 4.835 4.781 90.00 90.00 90.00
Atoms (fractional coordinates):
Na: 0.000 0.000 0.000
Be: 0.500 0.500 0.500
P: 0.000 0.000 0.500
S: 0.000 0.500 0.000
S: 0.500 0.000 0.000

---

It is #2 that is the least stable of them.

---

#1
NaBe2Pd: relaxed, PBE.

Lattice parameters (Å, degrees): 8.281 8.281 8.281 149.16 149.16 44.18
Atoms (fractional coordinates):
Na: 0.375 0.625 0.750
Na: 0.625 0.375 0.250
Be: 0.000 0.000 0.000
Be: 0.000 0.000 0.500
Be: 0.000 0.500 0.000
Be: 0.500 0.000 0.500
Pd: 0.125 0.875 0.250
Pd: 0.875 0.125 0.750

---

#2
NaBe2Pd: relaxed, PBE.

Lattice parameters (Å, degrees): 4.181 4.181 4.181 60.00 60.00 60.00
Atoms (fractional coordinates):
Na: 0.000 0.000 0.000
Be: 0.250 0.250 0.250
Be: 0.750 0.750 0.750
Pd: 0.500 0.500 0.500

---

It is #1 that is the least stable of them.

---

#1
NaBe3Pt: relaxed, PBE.

Lattice parameters (Å, degrees): 4.349 4.349 4.349 90.00 90.00 90.00
Atoms (fractional coordinates):
Na: 0.000 0.000 0.000
Be: 0.000 0.500 0.500
Be: 0.500 0.000 0.500
Be: 0.500 0.500 0.000
Pt: 0.500 0.500 0.500

---

#2
NaBe3Pt: relaxed, PBE.

Lattice parameters (Å, degrees): 4.069 4.069 4.069 90.00 90.00 90.00
Atoms (fractional coordinates):
Na: 0.000 0.000 0.000
Be: 0.000 0.000 0.500
Be: 0.000 0.500 0.000
Be: 0.500 0.000 0.000
Pt: 0.500 0.500 0.500

---

It is #2 that is the least stable of them.

---

#1
RbNaBe3: relaxed, PBE.

Lattice parameters (Å, degrees): 5.244 5.244 5.244 90.00 90.00 90.00
Atoms (fractional coordinates):
Rb: 0.000 0.000 0.000
Na: 0.500 0.500 0.500
Be: 0.000 0.500 0.500
Be: 0.500 0.000 0.500
Be: 0.500 0.500 0.000

---

#2
RbNaBe3: relaxed, PBE.

Lattice parameters (Å, degrees): 5.948 5.948 5.948 90.00 90.00 90.00
Atoms (fractional coordinates):
Rb: 0.000 0.000 0.000
Na: 0.500 0.500 0.500
Be: 0.000 0.000 0.500
Be: 0.000 0.500 0.000
Be: 0.500 0.000 0.000

---

It is #2 that is the least stable of them.

---

#1
NaBe2Re: relaxed, PBE.

Lattice parameters (Å, degrees): 4.178 4.178 4.178 60.00 60.00 60.00
Atoms (fractional coordinates):
Na: 0.000 0.000 0.000
Be: 0.250 0.250 0.250
Be: 0.750 0.750 0.750
Re: 0.500 0.500 0.500

---

#2
NaBe2Re: relaxed, PBE.

Lattice parameters (Å, degrees): 5.313 5.313 5.313 105.99 105.99 116.68
Atoms (fractional coordinates):
Na: 0.000 0.000 0.000
Na: 0.750 0.250 0.500
Be: 0.149 0.125 0.524
Be: 0.375 0.851 0.976
Be: 0.601 0.625 0.476
Be: 0.875 0.399 0.024
Re: 0.250 0.750 0.500
Re: 0.500 0.500 0.000

---

It is #2 that is the least stable of them.

---

#1
Na3BeRe: relaxed, PBE.

Lattice parameters (Å, degrees): 5.778 5.778 5.778 90.00 90.00 90.00
Atoms (fractional coordinates):
Na: 0.000 0.000 0.500
Na: 0.000 0.500 0.000
Na: 0.500 0.000 0.000
Be: 0.500 0.500 0.500
Re: 0.000 0.000 0.000

---

#2
Na3BeRe: relaxed, PBE.

Lattice parameters (Å, degrees): 5.206 5.206 5.206 90.00 90.00 90.00
Atoms (fractional coordinates):
Na: 0.000 0.000 0.500
Na: 0.000 0.500 0.000
Na: 0.500 0.000 0.000
Be: 0.000 0.000 0.000
Re: 0.500 0.500 0.500

---

It is #1 that is the least stable of them.

---

#1
NaBe2Rh2: relaxed, PBE.

Lattice parameters (Å, degrees): 5.404 5.404 5.404 136.06 136.06 63.89
Atoms (fractional coordinates):
Na: 0.000 0.000 0.000
Be: 0.350 0.350 0.000
Be: 0.650 0.650 0.000
Rh: 0.250 0.750 0.500
Rh: 0.750 0.250 0.500

---

#2
NaBe2Rh2: relaxed, PBE.

Lattice parameters (Å, degrees): 6.547 6.547 2.900 90.00 90.00 90.00
Atoms (fractional coordinates):
Na: 0.000 0.000 0.000
Na: 0.500 0.500 0.000
Be: 0.124 0.376 0.000
Be: 0.376 0.876 0.000
Be: 0.624 0.124 0.000
Be: 0.876 0.624 0.000
Rh: 0.157 0.657 0.500
Rh: 0.343 0.157 0.500
Rh: 0.657 0.843 0.500
Rh: 0.843 0.343 0.500

---

It is #1 that is the least stable of them.

---

#1
NaBe3Ru: relaxed, PBE.

Lattice parameters (Å, degrees): 3.993 3.993 3.993 90.00 90.00 90.00
Atoms (fractional coordinates):
Na: 0.000 0.000 0.000
Be: 0.000 0.000 0.500
Be: 0.000 0.500 0.000
Be: 0.500 0.000 0.000
Ru: 0.500 0.500 0.500

---

#2
NaBe3Ru: relaxed, PBE.

Lattice parameters (Å, degrees): 4.289 4.289 4.289 90.00 90.00 90.00
Atoms (fractional coordinates):
Na: 0.000 0.000 0.000
Be: 0.000 0.500 0.500
Be: 0.500 0.000 0.500
Be: 0.500 0.500 0.000
Ru: 0.500 0.500 0.500

---

It is #1 that is the least stable of them.

---

#1
NaBe2Ru: relaxed, PBE.

Lattice parameters (Å, degrees): 8.196 8.196 8.196 149.80 149.80 43.24
Atoms (fractional coordinates):
Na: 0.000 0.000 0.000
Na: 0.750 0.250 0.500
Be: 0.329 0.625 0.204
Be: 0.375 0.579 0.704
Be: 0.421 0.125 0.796
Be: 0.875 0.671 0.296
Ru: 0.250 0.750 0.500
Ru: 0.500 0.500 0.000

---

#2
NaBe2Ru: relaxed, PBE.

Lattice parameters (Å, degrees): 4.116 4.116 4.116 60.00 60.00 60.00
Atoms (fractional coordinates):
Na: 0.000 0.000 0.000
Be: 0.250 0.250 0.250
Be: 0.750 0.750 0.750
Ru: 0.500 0.500 0.500

---

It is #1 that is the least stable of them.

---

#1
Na2BeS: relaxed, PBE.

Lattice parameters (Å, degrees): 4.856 4.856 4.856 60.00 60.00 60.00
Atoms (fractional coordinates):
Na: 0.250 0.250 0.250
Na: 0.750 0.750 0.750
Be: 0.000 0.000 0.000
S: 0.500 0.500 0.500

---

#2
Na2BeS: relaxed, PBE.

Lattice parameters (Å, degrees): 9.140 9.140 9.140 146.47 146.47 48.15
Atoms (fractional coordinates):
Na: 0.061 0.625 0.936
Na: 0.375 0.311 0.436
Na: 0.689 0.125 0.064
Na: 0.875 0.939 0.564
Be: 0.250 0.750 0.500
Be: 0.500 0.500 0.000
S: 0.000 0.000 0.000
S: 0.750 0.250 0.500

---

It is #2 that is the least stable of them.

---

#1
Na2BeSb: relaxed, PBE.

Lattice parameters (Å, degrees): 5.044 5.044 5.044 60.00 60.00 60.00
Atoms (fractional coordinates):
Na: 0.250 0.250 0.250
Na: 0.750 0.750 0.750
Be: 0.000 0.000 0.000
Sb: 0.500 0.500 0.500

---

#2
Na2BeSb: relaxed, PBE.

Lattice parameters (Å, degrees): 8.248 8.248 8.248 94.20 94.20 148.59
Atoms (fractional coordinates):
Na: 0.375 0.165 0.290
Na: 0.835 0.125 0.210
Na: 0.875 0.085 0.710
Na: 0.915 0.625 0.790
Be: 0.000 0.000 0.000
Be: 0.750 0.250 0.500
Sb: 0.250 0.750 0.500
Sb: 0.500 0.500 0.000

---

It is #1 that is the least stable of them.

---

#1
NaBeSb2Te: relaxed, PBE.

Lattice parameters (Å, degrees): 5.384 5.384 5.424 90.00 90.00 90.00
Atoms (fractional coordinates):
Na: 0.000 0.000 0.000
Be: 0.500 0.500 0.500
Sb: 0.000 0.500 0.000
Sb: 0.500 0.000 0.000
Te: 0.000 0.000 0.500

---

#2
NaBeSb2Te: relaxed, PBE.

Lattice parameters (Å, degrees): 4.901 4.901 5.622 90.00 90.00 90.00
Atoms (fractional coordinates):
Na: 0.000 0.000 0.000
Be: 0.500 0.500 0.500
Sb: 0.000 0.500 0.500
Sb: 0.500 0.000 0.500
Te: 0.500 0.500 0.000

---

It is #1 that is the least stable of them.

---

#1
NaBeSbTe2: relaxed, PBE.

Lattice parameters (Å, degrees): 5.489 5.489 5.362 90.00 90.00 90.00
Atoms (fractional coordinates):
Na: 0.000 0.000 0.000
Be: 0.500 0.500 0.500
Sb: 0.000 0.000 0.500
Te: 0.000 0.500 0.000
Te: 0.500 0.000 0.000

---

#2
NaBeSbTe2: relaxed, PBE.

Lattice parameters (Å, degrees): 5.410 5.410 4.684 90.00 90.00 90.00
Atoms (fractional coordinates):
Na: 0.000 0.000 0.000
Be: 0.500 0.500 0.500
Sb: 0.500 0.500 0.000
Te: 0.000 0.500 0.500
Te: 0.500 0.000 0.500

---

It is #1 that is the least stable of them.